Record 1
A relaxed structure of Ce5AgS8, computed with PBEsol.

a = 8.299 Å, b = 8.299 Å, c = 8.449 Å
α = 90.00°, β = 90.00°, γ = 90.00°
Space group I-4 (No. 82)
Inequivalent atoms, fractional coordinates:
Ce  0.000  0.000  0.000 (multiplicity 2)
Ce  0.129  0.749  0.384 (multiplicity 8)
Ag  0.000  0.500  0.750 (multiplicity 2)
S  0.070  0.822  0.708 (multiplicity 8)
S  0.082  0.680  0.063 (multiplicity 8)

Properties
formation energy without anion corrections = -173.0 kJ/mol of atoms
total DFT energy (no corrections) = -6.890 eV/atom

Record 2
A relaxed structure of Ca3NbSn, computed with PBEsol.

a = 5.405 Å, b = 5.405 Å, c = 5.405 Å
α = 90.00°, β = 90.00°, γ = 90.00°
Space group Pm-3m (No. 221)
Inequivalent atoms, fractional coordinates:
Ca  0.000  0.000  0.500 (multiplicity 3)
Nb  0.000  0.000  0.000 (multiplicity 1)
Sn  0.500  0.500  0.500 (multiplicity 1)

Properties
total DFT energy (no corrections) = -3.476 eV/atom

Record 3
A relaxed structure of FeCu2HgMo, computed with PBEsol.

a = 4.310 Å, b = 4.310 Å, c = 4.741 Å
α = 90.00°, β = 90.00°, γ = 90.00°
Space group P4/mmm (No. 123)
Inequivalent atoms, fractional coordinates:
Fe  0.000  0.000  0.000 (multiplicity 1)
Cu  0.000  0.500  0.000 (multiplicity 2)
Hg  0.000  0.000  0.500 (multiplicity 1)
Mo  0.500  0.500  0.500 (multiplicity 1)

Properties
total DFT energy (no corrections) = -4.537 eV/atom

Record 4
A relaxed structure of AlCuRu2, computed with PBEsol.

a = 3.782 Å, b = 3.782 Å, c = 7.265 Å
α = 90.00°, β = 90.00°, γ = 90.00°
Space group I-4m2 (No. 119)
Inequivalent atoms, fractional coordinates:
Al  0.000  0.000  0.000 (multiplicity 2)
Cu  0.000  0.500  0.250 (multiplicity 2)
Ru  0.000  0.000  0.500 (multiplicity 2)
Ru  0.000  0.500  0.750 (multiplicity 2)

Properties
total DFT energy (no corrections) = -7.270 eV/atom

Record 5
A relaxed structure of KNiBr2, computed with PBEsol.

a = 12.491 Å, b = 3.977 Å, c = 5.029 Å
α = 90.00°, β = 99.93°, γ = 90.00°
Space group Cm (No. 8)
Inequivalent atoms, fractional coordinates:
K  0.000  0.000  0.000 (multiplicity 2)
Ni  0.298  0.000  0.232 (multiplicity 2)
Br  0.228  0.500  0.049 (multiplicity 2)
Br  0.470  0.000  0.489 (multiplicity 2)

Properties
formation energy without anion corrections = -66.2 kJ/mol of atoms
total DFT energy (no corrections) = -3.444 eV/atom

Record 6
A relaxed structure of ZrTaGa3, computed with PBEsol.

a = 4.870 Å, b = 4.870 Å, c = 4.870 Å
α = 90.00°, β = 90.00°, γ = 90.00°
Space group Pm-3m (No. 221)
Inequivalent atoms, fractional coordinates:
Zr  0.000  0.000  0.000 (multiplicity 1)
Ta  0.500  0.500  0.500 (multiplicity 1)
Ga  0.000  0.000  0.500 (multiplicity 3)

Properties
total DFT energy (no corrections) = -5.037 eV/atom

Record 7
A relaxed structure of KCo2Si, computed with PBEsol.

a = 2.620 Å, b = 3.425 Å, c = 7.360 Å
α = 90.00°, β = 90.00°, γ = 90.00°
Space group Pmm2 (No. 25)
Inequivalent atoms, fractional coordinates:
K  0.000  0.000  0.000 (multiplicity 1)
Co  0.000  0.000  0.504 (multiplicity 1)
Co  0.500  0.500  0.646 (multiplicity 1)
Si  0.500  0.500  0.340 (multiplicity 1)

Properties
formation energy without anion corrections = 30.9 kJ/mol of atoms
total DFT energy (no corrections) = -5.268 eV/atom

Record 8
A relaxed structure of MgTlBi3, computed with PBEsol.

a = 5.755 Å, b = 5.755 Å, c = 5.755 Å
α = 90.00°, β = 90.00°, γ = 90.00°
Space group Pm-3m (No. 221)
Inequivalent atoms, fractional coordinates:
Mg  0.000  0.000  0.000 (multiplicity 1)
Tl  0.500  0.500  0.500 (multiplicity 1)
Bi  0.000  0.500  0.500 (multiplicity 3)

Properties
total DFT energy (no corrections) = -2.668 eV/atom

Record 9
A relaxed structure of H2IrO, computed with PBEsol.

a = 4.759 Å, b = 4.759 Å, c = 4.759 Å
α = 90.00°, β = 90.00°, γ = 90.00°
Space group Fm-3m (No. 225)
Inequivalent atoms, fractional coordinates:
H  0.250  0.250  0.250 (multiplicity 8)
Ir  0.000  0.000  0.000 (multiplicity 4)
O  0.000  0.000  0.500 (multiplicity 4)

Properties
total DFT energy (no corrections) = -4.654 eV/atom

Record 10
A relaxed structure of AlRh3S, computed with PBEsol.

a = 4.407 Å, b = 4.407 Å, c = 4.407 Å
α = 90.00°, β = 90.00°, γ = 90.00°
Space group Pm-3m (No. 221)
Inequivalent atoms, fractional coordinates:
Al  0.000  0.000  0.000 (multiplicity 1)
Rh  0.000  0.000  0.500 (multiplicity 3)
S  0.500  0.500  0.500 (multiplicity 1)

Properties
formation energy without anion corrections = 98.5 kJ/mol of atoms
total DFT energy (no corrections) = -5.558 eV/atom

Record 11
A relaxed structure of Ba2NiAu, computed with PBEsol.

a = 4.556 Å, b = 4.521 Å, c = 11.709 Å
α = 90.00°, β = 90.00°, γ = 90.00°
Space group Amm2 (No. 38)
Inequivalent atoms, fractional coordinates:
Ba  0.000  0.000  0.000 (multiplicity 2)
Ba  0.500  0.000  0.283 (multiplicity 2)
Ni  0.000  0.000  0.692 (multiplicity 2)
Au  0.500  0.000  0.582 (multiplicity 2)

Properties
total DFT energy (no corrections) = -3.843 eV/atom

Record 12
A relaxed structure of TiAlFe2Te, computed with PBEsol.

a = 4.326 Å, b = 4.326 Å, c = 5.176 Å
α = 90.00°, β = 90.00°, γ = 90.00°
Space group P4/mmm (No. 123)
Inequivalent atoms, fractional coordinates:
Ti  0.000  0.000  0.000 (multiplicity 1)
Al  0.500  0.500  0.500 (multiplicity 1)
Fe  0.000  0.500  0.500 (multiplicity 2)
Te  0.500  0.500  0.000 (multiplicity 1)

Properties
formation energy without anion corrections = 103.8 kJ/mol of atoms
total DFT energy (no corrections) = -5.697 eV/atom